A plane-wave DFT calculation with PBE was carried out for an optimized crystal structure of NaLiGa4.

Cell and atoms, written as POSCAR:
```
NaLiGa4
1.0
5.5278 0.0000 0.0000
2.7639 4.7872 0.0000
2.7639 1.5957 4.5134
Li Ga Na
1 4 1
direct
0.2500 0.2500 0.2500
0.6248 0.6248 0.1255
0.6248 0.6248 0.6248
0.1255 0.6248 0.6248
0.6248 0.1255 0.6248
0.0000 0.0000 0.0000
```

## Properties
Energy relative to the lowest polymorph listed for this composition, eV/f.u.: 0.312
Formation energy from the elements, eV/atom: -0.126



A plane-wave DFT calculation with PBE was carried out for an optimized crystal structure of La4Ce3Tc2.

Cell and atoms, written as POSCAR:
```
La4Ce3Tc2
1.0
3.6591 0.0000 -1.0089
-0.8493 8.2938 -3.0802
0.5046 -0.8338 8.9698
Tc La Ce
2 4 3
direct
0.4138 0.5970 0.8275
0.5862 0.4030 0.1725
0.6179 0.8781 0.2359
0.7687 0.3496 0.5373
0.2313 0.6504 0.4627
0.3821 0.1219 0.7641
0.9235 0.8030 0.8470
0.0765 0.1970 0.1530
0.0000 0.5000 0.0000
```

## Properties
Formation energy from the elements, eV/atom: -0.043



Number 1: DOS(E_F) 4.53 states/eV/cell, spin magnetization 0.0 μB/cell, electronic total energy -2.68 eV/atom. Number 2: DOS(E_F) 14.15 states/eV/cell, spin magnetization 0.0 μB/cell, electronic total energy -6.51 eV/atom.